A plane-wave DFT calculation with PBE with a Hubbard U was carried out for a relaxed Be2VAsO8 crystal.

```
Be2VAsO8
1.0
5.250 0.000 0.000
-2.625 4.546 0.000
0.000 0.000 5.199
Be V As O
2 1 1 8
direct
0.667 0.333 0.199 Be
0.333 0.667 0.801 Be
0.000 0.000 0.000 V
0.000 0.000 0.500 As
0.333 0.667 0.118 O
0.313 0.157 0.263 O
0.843 0.156 0.263 O
0.667 0.333 0.882 O
0.157 0.844 0.737 O
0.687 0.843 0.737 O
0.156 0.313 0.737 O
0.844 0.687 0.263 O
```

**Electronic total energy**: -6.138 eV/atom
**SG**: No. 164